GGA-PBE BeHgPt2, relaxed; energy relative to the elements = 0.7 eV/f.u.; magnetization = 0.0 μB/cell; DOS at the Fermi energy = 3.493 states/eV/cell; E above lowest polymorph = 0.569 eV/atom; DFT total energy = -30.75 eV per cell
1.0
-3.8030 -2.4353 1.0346
1.3660 -0.2556 4.4196
-4.8154 4.8972 4.1999
Pt Hg Be
4 2 2
Cartesian
-4.3594 2.6328 5.7323 Pt
-1.2876 0.4642 4.0673 Pt
-5.9099 1.3494 7.3853 Pt
-2.9479 -0.0338 2.1233 Pt
0.0000 0.0000 0.0000 Hg
-4.9184 0.5582 3.9808 Hg
-2.3339 1.6481 5.6733 Be
-1.2185 -1.3455 2.7271 Be

***

GGA-PBE BeHgPt2, relaxed; energy relative to the elements = -0.3 eV/f.u.; magnetization = 0.0 μB/cell; DOS at the Fermi energy = 1.349 states/eV/cell; E above lowest polymorph = 0.316 eV/atom; DFT total energy = -16.39 eV per cell
1.0
4.7335 0.0231 0.0000
1.2364 4.5692 0.0000
-2.9850 -2.2961 2.8678
Be Hg Pt
1 1 2
Cartesian
0.6182 2.2846 1.4339 Be
2.3668 0.0115 1.4339 Hg
2.9850 2.2961 0.0000 Pt
0.0000 0.0000 0.0000 Pt

***

GGA-PBE BeHg2Pt, relaxed; energy relative to the elements = 1.2 eV/f.u.; magnetization = 0.0 μB/cell; DOS at the Fermi energy = 1.348 states/eV/cell; E above lowest polymorph = 0.385 eV/atom; DFT total energy = -9.20 eV per cell
1.0
8.4592 -0.0204 -0.0120
7.8981 3.0294 -0.0120
7.8981 1.4529 2.6583
Pt Hg Be
1 2 1
Cartesian
6.0639 1.1155 0.6586 Pt
11.9073 2.1904 1.2932 Hg
0.2205 0.0406 0.0239 Hg
18.1916 3.3465 1.9757 Be

***

GGA-PBE BeHg2Pt, relaxed; energy relative to the elements = 1.1 eV/f.u.; magnetization = 0.0 μB/cell; DOS at the Fermi energy = 1.166 states/eV/cell; E above lowest polymorph = 0.367 eV/atom; DFT total energy = -9.27 eV per cell
1.0
-1.2922 -2.4949 -2.9942
3.0036 -2.6490 0.9059
-2.4626 -1.8902 2.6378
Be Pt Hg
1 1 2
Cartesian
0.2705 -2.2696 1.7718 Be
-1.8774 -2.1926 -0.1782 Pt
0.8557 -2.5720 -1.0442 Hg
0.0000 0.0000 0.0000 Hg

***

GGA-PBE BeHgPt2, relaxed; energy relative to the elements = 0.0 eV/f.u.; magnetization = 0.0 μB/cell; DOS at the Fermi energy = 2.098 states/eV/cell; E above lowest polymorph = 0.389 eV/atom; DFT total energy = -16.09 eV per cell
1.0
-3.8287 -1.1814 1.9386
-1.9499 2.7317 2.9237
-3.7795 2.0871 -1.0825
Be Pt Hg
1 2 1
Cartesian
0.0000 0.0000 0.0000 Be
-7.1686 2.7281 2.8348 Pt
-2.3895 0.9094 0.9449 Pt
-4.7791 1.8188 1.8899 Hg

***

GGA-PBE BeHgPt2, relaxed; energy relative to the elements = -0.7 eV/f.u.; magnetization = 0.0 μB/cell; DOS at the Fermi energy = 1.418 states/eV/cell; E above lowest polymorph = 0.203 eV/atom; DFT total energy = -16.84 eV per cell
1.0
-3.5154 2.9701 1.7242
-3.9823 -2.6907 1.0264
4.7341 0.4074 1.2548
Pt Be Hg
2 1 1
Cartesian
-4.1251 0.1537 1.5133 Pt
-7.1215 0.2654 2.6126 Pt
-1.2651 1.7586 2.1772 Be
-1.4985 -1.0718 1.8282 Hg

***

GGA-PBE BeHgPt2, relaxed; energy relative to the elements = -0.1 eV/f.u.; magnetization = 0.0 μB/cell; DOS at the Fermi energy = 0.806 states/eV/cell; E above lowest polymorph = 0.352 eV/atom; DFT total energy = -16.24 eV per cell
1.0
4.6937 -0.0297 0.0021
-1.1805 4.5429 0.0021
-0.0013 -0.0017 2.9357
Be Hg Pt
1 1 2
Cartesian
2.3462 -0.0157 1.4689 Be
-0.5909 2.2706 1.4689 Hg
1.7566 2.2566 0.0021 Pt
0.0000 0.0000 0.0000 Pt

***

GGA-PBE BeHg2Pt, relaxed; energy relative to the elements = 0.3 eV/f.u.; magnetization = 0.0 μB/cell; DOS at the Fermi energy = 1.117 states/eV/cell; E above lowest polymorph = 0.163 eV/atom; DFT total energy = -10.09 eV per cell
1.0
5.4598 -0.0414 -0.0172
2.6382 4.7802 0.0172
-3.6508 -3.0498 2.6798
Hg Pt Be
2 1 1
Cartesian
0.2599 0.1521 0.0000 Hg
2.8309 -0.4182 1.3313 Hg
3.5845 2.0976 0.0000 Pt
1.8207 2.2270 1.3485 Be

***

GGA-PBE RbBeHg2Pt, relaxed; energy relative to the elements = -0.6 eV/f.u.; magnetization = 0.0 μB/cell; DOS at the Fermi energy = 1.427 states/eV/cell; E above lowest polymorph = 0.000 eV/atom; DFT total energy = -11.95 eV per cell
1.0
5.4211 0.0000 0.0000
0.0000 5.4211 0.0000
0.0000 0.0000 4.4800
Pt Rb Hg Be
1 1 2 1
Cartesian
0.0000 0.0000 0.0000 Pt
2.7105 2.7105 2.2400 Rb
0.0000 2.7105 0.0000 Hg
2.7105 0.0000 0.0000 Hg
0.0000 0.0000 2.2400 Be

***

GGA-PBE RbBeHg2Pt, relaxed; energy relative to the elements = 0.2 eV/f.u.; magnetization = 0.0 μB/cell; DOS at the Fermi energy = 1.949 states/eV/cell; E above lowest polymorph = 0.156 eV/atom; DFT total energy = -11.17 eV per cell
1.0
5.1120 0.0000 0.0000
0.0000 5.1120 0.0000
0.0000 0.0000 4.5342
Rb Hg Pt Be
1 2 1 1
Cartesian
2.5560 2.5560 2.2671 Rb
0.0000 2.5560 0.0000 Hg
2.5560 0.0000 0.0000 Hg
0.0000 0.0000 2.2671 Pt
0.0000 0.0000 0.0000 Be

***

GGA-PBE SrBeHg2Pt, relaxed; energy relative to the elements = -1.4 eV/f.u.; magnetization = 0.0 μB/cell; DOS at the Fermi energy = 2.431 states/eV/cell; DFT total energy = -13.41 eV per cell
1.0
-3.6904 -3.1142 -0.2718
3.0042 -3.4168 -1.6404
0.8323 -1.3680 4.3737
Hg Pt Be Sr
2 1 1 1
Cartesian
1.5021 -1.7084 -0.8202 Hg
-1.8452 -1.5571 -0.1359 Hg
0.4162 -0.6840 2.1869 Pt
0.0000 0.0000 0.0000 Be
0.0731 -3.9496 1.2307 Sr

***

GGA-PBE Pu2BeHg, relaxed; energy relative to the elements = 0.4 eV/f.u.; magnetization = 11.1 μB/cell; DOS at the Fermi energy = 10.237 states/eV/cell; DFT total energy = -32.28 eV per cell
1.0
3.1258 0.0000 0.0000
0.0000 3.1258 0.0000
0.0000 0.0000 8.7535
Pu Be Hg
2 1 1
Cartesian
0.0000 0.0000 1.8628 Pu
0.0000 0.0000 6.8906 Pu
1.5629 1.5629 0.0000 Be
1.5629 1.5629 4.3767 Hg

***

GGA-PBE RbBe3Hg, relaxed; energy relative to the elements = 4.2 eV/f.u.; magnetization = 0.0 μB/cell; DOS at the Fermi energy = 1.948 states/eV/cell; E above lowest polymorph = 0.000 eV/atom; DFT total energy = -8.24 eV per cell
1.0
4.7129 0.0000 0.0000
0.0000 4.7129 0.0000
0.0000 0.0000 4.7129
Be Rb Hg
3 1 1
Cartesian
0.0000 2.3564 0.0000 Be
2.3564 0.0000 0.0000 Be
0.0000 0.0000 2.3564 Be
2.3564 2.3564 2.3564 Rb
0.0000 0.0000 0.0000 Hg

***

GGA-PBE Rb2BeHg, relaxed; energy relative to the elements = 2.5 eV/f.u.; magnetization = 0.0 μB/cell; DOS at the Fermi energy = 7.710 states/eV/cell; E above lowest polymorph = 0.089 eV/atom; DFT total energy = -6.94 eV per cell
1.0
9.7742 0.0000 0.0000
0.0000 9.7742 0.0000
4.8871 4.8871 3.5692
Be Rb Hg
2 4 2
Cartesian
4.8871 9.7742 1.7846 Be
4.8871 4.8871 0.0000 Be
2.6081 7.3307 0.8923 Rb
12.2178 12.0532 2.6769 Rb
7.3307 7.4952 2.6769 Rb
7.1661 2.4436 0.8923 Rb
9.7742 4.8871 1.7846 Hg
0.0000 0.0000 0.0000 Hg

***

GGA-PBE Rb2BeHg2, relaxed; energy relative to the elements = 1.1 eV/f.u.; magnetization = 0.0 μB/cell; DOS at the Fermi energy = 3.098 states/eV/cell; E above lowest polymorph = 0.000 eV/atom; DFT total energy = -10.28 eV per cell
1.0
-3.0284 -6.2386 1.9504
2.1226 1.0945 6.7965
-5.3085 2.9468 1.1833
Rb Be Hg
4 2 4
Cartesian
-4.4676 -3.3447 4.4555 Rb
-2.9203 -1.7963 7.5407 Rb
-3.2940 -0.4011 2.3895 Rb
-1.7467 1.1474 5.4747 Rb
0.0000 0.0000 0.0000 Be
-0.4529 -2.5721 4.3735 Be
0.0984 -0.8236 2.4923 Hg
0.7777 -1.0632 6.1366 Hg
-1.0042 -4.3206 6.2546 Hg
-1.6835 -4.0809 2.6103 Hg